The following is a PBE with a Hubbard U calculation of a geometry-optimized Cs2ScW3O12 structure, from Alexandria.

Cell lengths 7.525, 7.525, 7.525 Å; angles 59.44, 59.44, 59.44 degrees
Fractional coordinates of all 18 atoms:
Cs: 0.628 0.628 0.628
Cs: 0.372 0.372 0.372
Sc: 0.000 0.000 0.000
W: 0.500 0.000 0.000
W: 0.000 0.500 0.000
W: 0.000 0.000 0.500
O: 0.308 0.308 0.937
O: 0.935 0.935 0.331
O: 0.331 0.935 0.935
O: 0.937 0.308 0.308
O: 0.935 0.331 0.935
O: 0.308 0.937 0.308
O: 0.692 0.692 0.063
O: 0.065 0.065 0.669
O: 0.669 0.065 0.065
O: 0.063 0.692 0.692
O: 0.065 0.669 0.065
O: 0.692 0.063 0.692

Calculated values
- final energy (eV/atom) = -7.14
- density of states at the Fermi level (states/eV/f.u.) = 12.86